Entry 1:
# CeBeCo2C, relaxed, DFT PBE
data_CeBeCo2C
_cell_length_a 3.797
_cell_length_b 10.208
_cell_length_c 6.624
_cell_angle_alpha 90.00
_cell_angle_beta 90.00
_cell_angle_gamma 90.00
_space_group_name_H-M_alt 'C m c m'
_space_group_IT_number 63
_space_group_name_Hall '-C 2c 2'
loop_
_atom_site_label
_atom_site_type_symbol
_atom_site_fract_x
_atom_site_fract_y
_atom_site_fract_z
_atom_site_occupancy
Ce1 Ce 0.000 0.060 0.250 1
Be1 Be 0.000 0.222 0.750 1
Co1 Co 0.000 0.330 0.061 1
C1 C 0.000 0.500 0.000 1
# Formation enthalpy at 0 K in eV per atom: -0.1813

=====

Entry 2:
# Cd2CoMo, relaxed, DFT PBE
data_Cd2CoMo
_cell_length_a 6.425
_cell_length_b 6.425
_cell_length_c 6.425
_cell_angle_alpha 90.00
_cell_angle_beta 90.00
_cell_angle_gamma 90.00
_space_group_name_H-M_alt 'F -4 3 m'
_space_group_IT_number 216
_space_group_name_Hall 'F -4 2 3'
loop_
_atom_site_label
_atom_site_type_symbol
_atom_site_fract_x
_atom_site_fract_y
_atom_site_fract_z
_atom_site_occupancy
Cd1 Cd 0.000 0.000 0.000 1
Cd2 Cd 0.250 0.250 0.250 1
Co1 Co 0.250 0.250 0.750 1
Mo1 Mo 0.000 0.000 0.500 1
# Energy above the most stable polymorph in this dataset in eV per atom: 0.382
# Formation enthalpy at 0 K in eV per atom: 0.5679